First-principles (PBE-GGA) data for an optimized crystal structure of ThPd4, as listed in Alexandria via LeMat-Bulk.

```
ThPd4
1.0
7.8330 0.0000 0.0000
0.0000 4.8737 0.0000
-2.0353 0.0000 4.8182
Th Pd
2 8
Cartesian
0.0000 0.0000 0.0000
3.9165 2.4369 0.0000
-0.8775 2.4369 3.7577
0.3514 0.0000 2.9456
1.5298 2.4369 1.8726
2.7587 0.0000 1.0606
3.0390 0.0000 3.7577
4.2679 2.4369 2.9456
5.4463 0.0000 1.8726
6.6752 2.4369 1.0606
```

Calculated values
Density of states at the Fermi level (states/eV/atom): 0.507
Formation energy (kJ/mol of formula units): -321
Crystal system: monoclinic
Energy (eV for the cell shown): -63.033


First-principles (PBE-GGA) data for an optimized crystal structure of Th2Pd13, as listed in Alexandria via LeMat-Bulk.

```
Th2Pd13
1.0
3.5868 2.0708 6.1755
-3.5868 2.0708 6.1755
0.0000 -4.1417 6.1755
Th Pd
2 13
Cartesian
0.0000 0.0000 3.0677
0.0000 0.0000 15.4589
0.0000 0.0000 0.0000
0.0000 -1.5919 5.3950
-1.3787 0.7960 5.3950
-1.4112 -0.8148 10.3896
0.0000 -1.6295 8.1370
-1.4112 0.8148 8.1370
-1.3787 -0.7960 13.1316
1.3787 0.7960 5.3950
1.4112 -0.8148 10.3896
0.0000 1.6295 10.3896
1.4112 0.8148 8.1370
1.3787 -0.7960 13.1316
0.0000 1.5919 13.1316
```

Calculated values
Density of states at the Fermi level (states/eV/atom): 0.441
Energy relative to the lowest polymorph listed for this composition (meV/atom): 0
Formation energy (kJ/mol of formula units): -537
Crystal system: trigonal
Energy (eV for the cell shown): -87.910


First-principles (PBE-GGA) data for an optimized crystal structure of ThPd2, as listed in Alexandria via LeMat-Bulk.

```
ThPd2
1.0
3.7758 0.0000 0.0000
0.0000 3.7758 0.0000
0.0000 0.0000 8.9952
Th Pd
2 4
Cartesian
0.0000 0.0000 0.0000
1.8879 1.8879 4.4976
0.0000 0.0000 3.0263
0.0000 0.0000 5.9689
1.8879 1.8879 1.4713
1.8879 1.8879 7.5238
```

Calculated values
Density of states at the Fermi level (states/eV/atom): 0.687
Formation energy (kJ/mol of formula units): -226
Crystal system: tetragonal
Energy (eV for the cell shown): -40.304